VASP calculation (GGA-PBEsol) on a relaxed structure of RbBa3Ni.

a = 6.257 Å, b = 6.257 Å, c = 6.257 Å
α = 90.00°, β = 90.00°, γ = 90.00°
Fractional coordinates of all 5 atoms:
Ba 0.000 0.500 0.000
Ni 0.000 0.000 0.000
Ba 0.000 0.000 0.500
Rb 0.500 0.500 0.500
Ba 0.500 0.000 0.000

Summary:
For the density of states at the Fermi level, the calculation gives 3.67 states/eV per cell. Its energy relative to the elements is 0.11 eV per atom. For the magnetic moment, the calculation gives 0.00 μB per formula unit. As for the uncorrected energy: -2.62 eV/atom.


VASP calculation (GGA-PBEsol) on a relaxed structure of LiZn2Tc.

a = 2.714 Å, b = 4.459 Å, c = 4.458 Å
α = 90.00°, β = 90.00°, γ = 90.00°
Fractional coordinates of all 4 atoms:
Li 0.500 0.000 0.625
Zn 0.000 0.500 0.625
Tc 0.500 0.500 0.125
Zn 0.000 0.000 0.125

Summary:
For the density of states at the Fermi level, the calculation gives 0.98 states/eV per cell. The energy relative to the lowest polymorph listed for this composition is 0.03 eV per formula unit. Its energy relative to the elements is -0.07 eV per atom. For the magnetic moment, the calculation gives 0.00 μB per formula unit. As for the uncorrected energy: -4.17 eV/atom.


VASP calculation (GGA-PBEsol) on a relaxed structure of MoPt2Se.

a = 2.885 Å, b = 2.885 Å, c = 8.850 Å
α = 80.62°, β = 80.62°, γ = 60.00°
Fractional coordinates of all 4 atoms:
Mo 0.247 0.247 0.260
Pt 0.996 0.996 0.013
Pt 0.750 0.750 0.750
Se 0.508 0.508 0.476

Summary:
The calculation puts the raw formation energy at 0.00 eV/atom. For the density of states at the Fermi level, the calculation gives 2.64 states/eV per cell. For the magnetic moment, the calculation gives 0.00 μB per formula unit. As for the uncorrected energy: -7.38 eV/atom.